# 1
Material: Ti3AlW
Method: DFT, GGA-PBE
State: relaxed

a b c (Å): 4.7595 4.7595 4.7595
angles (deg): 90.00 90.00 90.00
Space group Pm-3m (No. 221)
Unique sites:
Ti  0.0000  0.0000  0.5000 x3
Al  0.5000  0.5000  0.5000 x1
W  0.0000  0.0000  0.0000 x1

Calculated values
Formation energy from the elements (meV/atom): 874



# 2
Material: MnAs2W
Method: DFT, GGA-PBE
State: relaxed

a b c (Å): 3.3933 4.9028 7.7566
angles (deg): 90.00 90.00 90.00
Space group Cmmm (No. 65)
Unique sites:
Mn  0.0000  0.0000  0.0000 x2
As  0.0000  0.5000  0.2438 x4
W  0.0000  0.0000  0.5000 x2

Calculated values
Formation energy from the elements (meV/atom): 403



# 3
Material: Tb2Ga3Au
Method: DFT, GGA-PBE
State: relaxed

a b c (Å): 3.6283 4.4851 7.7454
angles (deg): 90.00 90.00 90.00
Space group Pmm2 (No. 25)
Unique sites:
Tb  0.0000  0.0000  0.0000 x1
Tb  0.0000  0.5000  0.4991 x1
Ga  0.5000  0.0000  0.3341 x1
Ga  0.5000  0.0000  0.6635 x1
Ga  0.5000  0.5000  0.1686 x1
Au  0.5000  0.5000  0.8323 x1

Calculated values
Formation energy from the elements (meV/atom): -726



# 4
Material: Li6TmPb6
Method: DFT, GGA-PBE
State: relaxed

a b c (Å): 5.8654 9.6242 10.3119
angles (deg): 90.00 90.00 90.00
Space group Immm (No. 71)
Unique sites:
Li  0.0000  0.2489  0.0000 x4
Li  0.2500  0.2500  0.2500 x8
Tm  0.0000  0.5000  0.5000 x2
Pb  0.0000  0.0000  0.1626 x4
Pb  0.0000  0.1616  0.5000 x4
Pb  0.0000  0.5000  0.1661 x4

Calculated values
Formation energy from the elements (meV/atom): -267



# 5
Material: ScTlSn2
Method: DFT, GGA-PBE
State: relaxed

a b c (Å): 8.3622 8.3622 6.2008
angles (deg): 90.00 90.00 90.00
Space group I-42d (No. 122)
Unique sites:
Sc  0.0000  0.0000  0.0000 x4
Tl  0.0000  0.0000  0.5000 x4
Sn  0.2478  0.2500  0.1250 x8

Calculated values
Formation energy from the elements (meV/atom): -2



# 6
Material: Ca2TbErSe4
Method: DFT, GGA-PBE
State: relaxed

a b c (Å): 7.1020 4.1020 7.2268
angles (deg): 90.00 109.16 90.00
Space group P2/m (No. 10)
Unique sites:
Ca  0.0000  0.0000  0.0000 x1
Ca  0.5000  0.5000  0.0000 x1
Tb  0.0000  0.5000  0.5000 x1
Er  0.5000  0.0000  0.5000 x1
Se  0.2515  0.0000  0.7457 x2
Se  0.2546  0.5000  0.2563 x2

Calculated values
Formation energy without anion corrections (eV/atom): -1.87



# 7
Material: Li3Al4Zn4
Method: DFT, GGA-PBE
State: relaxed

a b c (Å): 2.8057 3.9206 15.6282
angles (deg): 97.04 95.15 90.08
Space group P-1 (No. 2)
Unique sites:
Li  0.0000  0.0000  0.0000 x1
Li  0.3629  0.3663  0.7285 x2
Al  0.0889  0.0859  0.1769 x2
Al  0.2752  0.2764  0.5497 x2
Zn  0.1794  0.1769  0.3581 x2
Zn  0.4557  0.4559  0.9113 x2

Calculated values
Formation energy from the elements (meV/atom): -102



# 8
Material: Ca3TaMo
Method: DFT, GGA-PBE
State: relaxed

a b c (Å): 5.4418 5.4418 5.4418
angles (deg): 90.00 90.00 90.00
Space group Pm-3m (No. 221)
Unique sites:
Ca  0.0000  0.0000  0.5000 x3
Ta  0.0000  0.0000  0.0000 x1
Mo  0.5000  0.5000  0.5000 x1

Calculated values
Formation energy from the elements (meV/atom): 2085



Calculated total energy, respectively: -7.202, -7.452, -4.329, -3.206, -4.178, -5.258, -2.448, -3.653 eV per atom.